Entry 1:
First-principles (PBE-GGA) data for a relaxed structure of NdSiPd2, as listed in Alexandria via LeMat-Bulk.

Cell and atoms, written as extended XYZ:
```
4
Lattice="3.962 0.000 0.000 0.000 4.035 0.000 0.000 0.000 5.431" Properties=species:S:1:pos:R:3 pbc="T T T"
Nd 0.000 0.000 0.000
Si 0.000 2.017 2.715
Pd 1.981 2.017 1.359
Pd 1.981 2.017 4.072
```

SG	No. 47
V	21.70	Å³/atom
raw formation energy	-646	meV/atom



Entry 2:
First-principles (PBE-GGA) data for a relaxed structure of Nd4SiPd, as listed in Alexandria via LeMat-Bulk.

Cell and atoms, written as extended XYZ:
```
12
Lattice="2.687 -10.643 0.000 2.687 10.643 0.000 0.000 0.000 6.312" Properties=species:S:1:pos:R:3 pbc="T T T"
Nd 2.687 9.423 3.156
Nd 2.687 6.443 4.794
Nd 2.687 6.123 1.740
Nd 2.687 2.379 3.368
Nd 2.687 -2.379 0.212
Nd 2.687 -6.123 4.896
Nd 2.687 -6.443 1.638
Nd 2.687 -9.423 0.000
Si 2.687 3.418 0.075
Si 2.687 -3.418 3.231
Pd 2.687 9.006 0.044
Pd 2.687 -9.006 3.200
```

SG	No. 36
V	30.09	Å³/atom
raw formation energy	-306	meV/atom



Entry 3:
First-principles (PBE-GGA) data for a relaxed structure of Nd2SiPd6, as listed in Alexandria via LeMat-Bulk.

Cell and atoms, written as extended XYZ:
```
9
Lattice="4.987 -2.884 0.000 4.987 2.884 0.000 -1.508 0.000 5.833" Properties=species:S:1:pos:R:3 pbc="T T T"
Nd 0.901 0.000 1.941
Nd 7.566 0.000 3.892
Si 4.233 0.000 2.916
Pd 3.376 1.471 1.127
Pd 2.559 0.000 4.642
Pd 5.091 1.471 4.706
Pd 3.376 -1.471 1.127
Pd 5.907 0.000 1.190
Pd 5.091 -1.471 4.706
```

SG	No. 12
V	18.64	Å³/atom
raw formation energy	-812	meV/atom



Entry 4:
First-principles (PBE-GGA) data for a relaxed structure of NdSi2Pd4, as listed in Alexandria via LeMat-Bulk.

Cell and atoms, written as extended XYZ:
```
14
Lattice="7.935 0.000 0.000 0.000 7.935 0.000 0.000 0.000 3.784" Properties=species:S:1:pos:R:3 pbc="T T T"
Nd 0.000 0.000 0.000
Nd 3.968 3.968 1.892
Si 1.783 1.783 1.892
Si 2.185 5.750 0.000
Si 5.750 2.185 0.000
Si 6.152 6.152 1.892
Pd 0.627 5.351 1.892
Pd 1.383 3.341 0.000
Pd 2.584 7.308 1.892
Pd 3.341 1.383 0.000
Pd 4.594 6.552 0.000
Pd 5.351 0.627 1.892
Pd 6.552 4.594 0.000
Pd 7.308 2.584 1.892
```

SG	No. 136
V	17.02	Å³/atom
raw formation energy	-815	meV/atom



Entry 5:
First-principles (PBE-GGA) data for a relaxed structure of Nd2SiPd, as listed in Alexandria via LeMat-Bulk.

Cell and atoms, written as extended XYZ:
```
4
Lattice="3.565 0.000 0.000 0.000 3.565 0.000 0.000 0.000 7.516" Properties=species:S:1:pos:R:3 pbc="T T T"
Nd 0.000 0.000 1.878
Nd 0.000 0.000 5.638
Si 1.783 1.783 0.000
Pd 1.783 1.783 3.758
```

SG	No. 123
V	23.89	Å³/atom
raw formation energy	-606	meV/atom



Entry 6:
First-principles (PBE-GGA) data for a relaxed structure of Nd2SiPd3, as listed in Alexandria via LeMat-Bulk.

Cell and atoms, written as extended XYZ:
```
6
Lattice="3.792 0.000 0.000 0.000 4.391 0.000 0.000 0.000 7.758" Properties=species:S:1:pos:R:3 pbc="T T T"
Nd 0.000 0.000 0.000
Nd 0.000 2.196 3.780
Si 1.896 2.196 6.322
Pd 1.896 0.000 2.572
Pd 1.896 0.000 5.287
Pd 1.896 2.196 0.984
```

SG	No. 25
V	21.53	Å³/atom
raw formation energy	-821	meV/atom



Entry 7:
First-principles (PBE-GGA) data for a relaxed structure of Nd3Si3Pd, as listed in Alexandria via LeMat-Bulk.

Cell and atoms, written as extended XYZ:
```
7
Lattice="-2.035 2.165 9.223 2.035 -2.165 9.223 2.035 2.165 -9.223" Properties=species:S:1:pos:R:3 pbc="T T T"
Nd 0.000 0.000 0.000
Nd 2.035 0.000 3.451
Nd 0.000 0.000 6.805
Si 0.000 0.000 10.000
Si 0.000 2.165 4.588
Si 0.000 0.000 15.242
Pd 0.000 2.165 2.209
```

SG	No. 44
V	23.23	Å³/atom
raw formation energy	-792	meV/atom



Entry 8:
First-principles (PBE-GGA) data for a relaxed structure of Nd2Si6Pd21, as listed in Alexandria via LeMat-Bulk.

Cell and atoms, written as extended XYZ:
```
29
Lattice="0.000 6.151 6.151 6.151 0.000 6.151 6.151 6.151 0.000" Properties=species:S:1:pos:R:3 pbc="T T T"
Nd 3.076 3.076 3.076
Nd 9.227 9.227 9.227
Si 6.151 6.151 2.898
Si 6.151 2.898 6.151
Si 9.404 6.151 6.151
Si 2.898 6.151 6.151
Si 6.151 9.404 6.151
Si 6.151 6.151 9.404
Pd 1.412 1.412 1.412
Pd 4.740 4.740 1.412
Pd 4.740 1.412 4.740
Pd 6.151 4.033 4.033
Pd 8.270 6.151 4.033
Pd 8.270 4.033 6.151
Pd 10.891 7.563 7.563
Pd 4.033 6.151 4.033
Pd 6.151 8.270 4.033
Pd 4.033 4.033 6.151
Pd 6.151 6.151 6.151
Pd 8.270 8.270 6.151
Pd 6.151 4.033 8.270
Pd 8.270 6.151 8.270
Pd 1.412 4.740 4.740
Pd 4.033 8.270 6.151
Pd 4.033 6.151 8.270
Pd 6.151 8.270 8.270
Pd 7.563 10.891 7.563
Pd 7.563 7.563 10.891
Pd 10.891 10.891 10.891
```

SG	No. 225
V	16.05	Å³/atom
raw formation energy	-707	meV/atom



Entry 9:
First-principles (PBE-GGA) data for a relaxed structure of NdSi2Pd8, as listed in Alexandria via LeMat-Bulk.

Cell and atoms, written as extended XYZ:
```
11
Lattice="5.565 0.000 0.000 0.000 5.565 0.000 0.000 0.000 7.139" Properties=species:S:1:pos:R:3 pbc="T T T"
Nd 0.000 0.000 0.000
Si 0.000 2.783 3.569
Si 2.783 0.000 3.569
Pd 1.418 1.418 2.125
Pd 1.418 1.418 5.014
Pd 1.418 4.147 2.125
Pd 1.418 4.147 5.014
Pd 4.147 1.418 2.125
Pd 4.147 1.418 5.014
Pd 4.147 4.147 2.125
Pd 4.147 4.147 5.014
```

SG	No. 123
V	20.10	Å³/atom
raw formation energy	-352	meV/atom



Entry 10:
First-principles (PBE-GGA) data for a relaxed structure of NdSiPd3, as listed in Alexandria via LeMat-Bulk.

Cell and atoms, written as extended XYZ:
```
10
Lattice="-2.651 2.651 7.711 2.651 -2.651 7.711 2.651 2.651 -7.711" Properties=species:S:1:pos:R:3 pbc="T T T"
Nd 0.000 0.000 2.362
Nd 0.000 0.000 13.060
Si 2.651 0.000 3.855
Si 0.000 0.000 7.711
Pd 1.352 2.651 -1.961
Pd 1.299 0.000 5.750
Pd 2.651 1.352 1.961
Pd 0.000 2.651 0.593
Pd 0.000 1.299 9.672
Pd 0.000 2.651 7.118
```

energy relative to the lowest polymorph listed for this composition	0.091	eV per atom
SG	No. 119
V	21.68	Å³/atom
raw formation energy	-538	meV/atom



Entry 11:
First-principles (PBE-GGA) data for a relaxed structure of Nd3Si4Pd, as listed in Alexandria via LeMat-Bulk.

Cell and atoms, written as extended XYZ:
```
8
Lattice="-2.245 2.872 7.420 2.245 -2.872 7.420 2.245 2.872 -7.420" Properties=species:S:1:pos:R:3 pbc="T T T"
Nd 0.000 0.000 0.000
Nd 2.245 0.000 4.570
Nd 0.000 2.872 2.850
Si 2.245 1.189 -1.762
Si 2.245 1.189 1.762
Si 0.000 1.683 5.658
Si 0.000 1.683 9.182
Pd 0.000 0.000 7.420
```

SG	No. 71
V	23.93	Å³/atom
raw formation energy	-637	meV/atom



Entry 12:
First-principles (PBE-GGA) data for a relaxed structure of Nd2Si2Pd3, as listed in Alexandria via LeMat-Bulk.

Cell and atoms, written as extended XYZ:
```
7
Lattice="5.318 -1.988 0.000 5.318 1.988 0.000 -3.025 0.000 6.451" Properties=species:S:1:pos:R:3 pbc="T T T"
Nd 0.604 0.000 1.748
Nd 7.008 0.000 4.704
Si -0.592 0.000 4.675
Si 8.204 0.000 1.776
Pd 3.688 0.000 0.439
Pd 3.806 0.000 3.226
Pd 3.924 0.000 6.012
```

SG	No. 12
V	19.49	Å³/atom
raw formation energy	-861	meV/atom



Entry 13:
First-principles (PBE-GGA) data for a relaxed structure of Nd2SiPd, as listed in Alexandria via LeMat-Bulk.

Cell and atoms, written as extended XYZ:
```
4
Lattice="4.296 0.000 0.000 0.000 2.082 5.546 0.000 -2.082 5.546" Properties=species:S:1:pos:R:3 pbc="T T T"
Nd 0.000 0.000 0.000
Nd 2.148 0.000 3.096
Si 0.000 0.000 7.929
Pd 2.148 0.000 6.309
```

SG	No. 38
V	24.81	Å³/atom
raw formation energy	-748	meV/atom



Entry 14:
First-principles (PBE-GGA) data for a relaxed structure of NdSi2Pd5, as listed in Alexandria via LeMat-Bulk.

Cell and atoms, written as extended XYZ:
```
8
Lattice="-1.971 3.542 4.888 1.971 -3.542 4.888 1.971 3.542 -4.888" Properties=species:S:1:pos:R:3 pbc="T T T"
Nd 0.000 0.000 0.000
Si 1.971 0.000 2.499
Si 0.000 3.542 2.389
Pd 1.971 2.154 -1.482
Pd 1.971 2.154 1.482
Pd 0.000 3.542 0.000
Pd 0.000 1.388 3.406
Pd 0.000 1.388 6.370
```

SG	No. 71
V	17.06	Å³/atom
raw formation energy	-784	meV/atom



Entry 15:
First-principles (PBE-GGA) data for a relaxed structure of NdSiPd3, as listed in Alexandria via LeMat-Bulk.

Cell and atoms, written as extended XYZ:
```
5
Lattice="4.643 0.000 0.000 0.000 4.643 0.000 0.000 0.000 4.643" Properties=species:S:1:pos:R:3 pbc="T T T"
Nd 0.000 0.000 0.000
Si 2.321 2.321 2.321
Pd 0.000 2.321 2.321
Pd 2.321 0.000 2.321
Pd 2.321 2.321 0.000
```

energy relative to the lowest polymorph listed for this composition	0.000	eV per atom
SG	No. 221
V	20.01	Å³/atom
raw formation energy	-629	meV/atom



Entry 16:
First-principles (PBE-GGA) data for a relaxed structure of Nd3Si8Pd3, as listed in Alexandria via LeMat-Bulk.

Cell and atoms, written as extended XYZ:
```
14
Lattice="7.604 -2.115 0.000 7.604 2.115 0.000 -4.350 0.000 7.931" Properties=species:S:1:pos:R:3 pbc="T T T"
Nd 0.000 0.000 0.000
Nd 3.048 0.000 2.807
Nd 7.808 0.000 5.123
Si 0.048 0.000 2.960
Si -1.612 0.000 6.665
Si 2.371 0.000 5.898
Si 6.062 0.000 2.123
Si 4.794 0.000 5.808
Si 8.486 0.000 2.033
Si 12.469 0.000 1.266
Si 10.809 0.000 4.971
Pd -2.175 0.000 3.965
Pd 0.650 0.000 7.678
Pd 10.207 0.000 0.253
```

SG	No. 12
V	18.22	Å³/atom
raw formation energy	-575	meV/atom



Entry 17:
First-principles (PBE-GGA) data for a relaxed structure of Nd4Si3Pd, as listed in Alexandria via LeMat-Bulk.

Cell and atoms, written as extended XYZ:
```
8
Lattice="4.039 0.000 0.000 0.000 4.362 0.000 0.000 0.000 11.161" Properties=species:S:1:pos:R:3 pbc="T T T"
Nd 0.000 0.000 0.000
Nd 0.000 2.181 5.520
Nd 2.020 0.000 3.110
Nd 2.020 2.181 8.667
Si 0.000 0.000 7.853
Si 0.000 2.181 2.368
Si 2.020 0.000 6.326
Pd 2.020 2.181 0.738
```

SG	No. 25
V	24.58	Å³/atom
raw formation energy	-730	meV/atom



Entry 18:
First-principles (PBE-GGA) data for a relaxed structure of NdSi3Pd2, as listed in Alexandria via LeMat-Bulk.

Cell and atoms, written as extended XYZ:
```
12
Lattice="-2.088 2.088 12.447 2.088 -2.088 12.447 2.088 2.088 -12.447" Properties=species:S:1:pos:R:3 pbc="T T T"
Nd 0.000 0.000 3.672
Nd 0.000 0.000 21.222
Si 2.088 0.000 1.170
Si 0.000 0.000 7.580
Si 2.088 0.000 11.278
Si 0.000 2.088 1.170
Si 0.000 0.000 17.314
Si 0.000 2.088 11.278
Pd 2.088 0.000 6.224
Pd 0.000 0.000 10.053
Pd 0.000 0.000 14.842
Pd 0.000 2.088 6.224
```

SG	No. 139
V	18.10	Å³/atom
raw formation energy	-703	meV/atom



Entry 19:
First-principles (PBE-GGA) data for a relaxed structure of NdSi2Pd2, as listed in Alexandria via LeMat-Bulk.

Cell and atoms, written as extended XYZ:
```
5
Lattice="-2.119 2.119 4.993 2.119 -2.119 4.993 2.119 2.119 -4.993" Properties=species:S:1:pos:R:3 pbc="T T T"
Nd 0.000 0.000 0.000
Si 0.000 0.000 3.805
Si 0.000 0.000 6.182
Pd 2.119 0.000 2.497
Pd 0.000 2.119 2.497
```

SG	No. 139
V	17.93	Å³/atom
raw formation energy	-938	meV/atom



Entry 20:
First-principles (PBE-GGA) data for a relaxed structure of Nd2SiPd, as listed in Alexandria via LeMat-Bulk.

Cell and atoms, written as extended XYZ:
```
8
Lattice="5.953 0.000 0.000 0.000 4.349 0.000 -2.952 0.000 7.722" Properties=species:S:1:pos:R:3 pbc="T T T"
Nd -0.042 1.087 3.233
Nd 1.520 3.262 0.495
Nd 1.481 1.087 7.227
Nd 3.043 3.262 4.489
Si 0.101 3.262 5.465
Si 2.901 1.087 2.257
Pd -1.352 1.087 6.046
Pd 4.354 3.262 1.676
```

SG	No. 11
V	24.99	Å³/atom
raw formation energy	-728	meV/atom